Entry 1:
RbCa2SnI8 after structural relaxation. Source: Alexandria via LeMat-Bulk, functional PBE-GGA.

a = 7.647 Å, b = 7.309 Å, c = 9.753 Å
α = 89.97°, β = 89.98°, γ = 88.79°
Fractional positions:
Rb (0.000, 0.000, 0.500)
Ca (0.500, 0.500, 0.248)
Ca (0.500, 0.500, 0.752)
I (0.154, 0.744, 0.216)
I (0.369, 0.274, 0.500)
I (0.845, 0.256, 0.216)
I (0.342, 0.248, 0.000)
I (0.846, 0.256, 0.784)
I (0.155, 0.744, 0.784)
I (0.658, 0.752, 0.000)
I (0.631, 0.726, 0.500)
Sn (0.000, 0.000, 0.000)

DOS at the Fermi energy, states/eV/f.u.: 4.8
E_form (uncorrected), meV per atom: -1096
SG: P2/m (10)

---

Entry 2:
ScAl2SCl after structural relaxation. Source: Alexandria via LeMat-Bulk, functional PBE-GGA.

a = 5.727 Å, b = 4.681 Å, c = 5.727 Å
α = 90.00°, β = 90.00°, γ = 90.00°
Fractional positions:
Cl (0.500, 0.500, 0.500)
Al (0.000, 0.000, 0.500)
Al (0.500, 0.000, 0.000)
S (0.000, 0.500, 0.000)
Sc (0.000, 0.000, 0.000)

DOS at the Fermi energy, states/eV/f.u.: 3.6
E_form (uncorrected), meV per atom: 23
SG: P4/mmm (123)

---

Entry 3:
Ho4Er9Tm11 after structural relaxation. Source: Alexandria via LeMat-Bulk, functional PBE-GGA.

a = 3.605 Å, b = 14.837 Å, c = 14.837 Å
α = 112.90°, β = 90.00°, γ = 90.00°
Fractional positions:
Er (0.500, 0.164, 0.632)
Er (0.500, 0.214, 0.069)
Er (0.500, 0.368, 0.836)
Er (0.500, 0.931, 0.786)
Er (0.500, 0.632, 0.164)
Er (0.500, 0.069, 0.214)
Er (0.500, 0.786, 0.931)
Er (0.500, 0.836, 0.368)
Er (0.500, 0.500, 0.500)
Tm (0.000, 0.291, 0.291)
Tm (0.000, 0.841, 0.159)
Tm (0.000, 0.000, 0.000)
Tm (0.000, 0.593, 0.956)
Tm (0.000, 0.159, 0.841)
Tm (0.000, 0.407, 0.044)
Tm (0.000, 0.633, 0.367)
Tm (0.000, 0.044, 0.407)
Tm (0.000, 0.709, 0.709)
Tm (0.000, 0.956, 0.593)
Tm (0.000, 0.367, 0.633)
Ho (0.500, 0.244, 0.446)
Ho (0.500, 0.756, 0.554)
Ho (0.500, 0.446, 0.244)
Ho (0.500, 0.554, 0.756)

DOS at the Fermi energy, states/eV/f.u.: 29.9
Calculated formation energy, eV per atom: 0.050
SG: Cmmm (65)

---

Entry 4:
AlNi2Sb after structural relaxation. Source: Alexandria via LeMat-Bulk, functional PBE-GGA.

a = 4.078 Å, b = 4.079 Å, c = 3.480 Å
α = 90.00°, β = 90.00°, γ = 90.00°
Fractional positions:
Al (0.000, 0.500, 0.500)
Sb (0.500, 0.000, 0.500)
Ni (0.500, 0.500, 0.000)
Ni (0.000, 0.000, 0.000)

Polymorph energy (0 for the lowest one), kJ per mole of atoms: 8.8
DOS at the Fermi energy, states/eV/f.u.: 2.4
E_form (uncorrected), meV per atom: -151
SG: P4/mmm (123)

---

Entry 5:
SiMo2Rh after structural relaxation. Source: Alexandria via LeMat-Bulk, functional PBE-GGA.

a = 2.834 Å, b = 2.834 Å, c = 7.219 Å
α = 90.00°, β = 90.00°, γ = 90.02°
Fractional positions:
Mo (0.500, 0.500, 0.256)
Mo (0.000, 0.000, 0.973)
Si (0.500, 0.500, 0.736)
Rh (0.000, 0.000, 0.534)

DOS at the Fermi energy, states/eV/f.u.: 4.7
E_form (uncorrected), meV per atom: -185
SG: P4mm (99)

---

Entry 6:
CsCr5S8 after structural relaxation. Source: Alexandria via LeMat-Bulk, functional PBE-GGA.

a = 9.226 Å, b = 9.226 Å, c = 8.853 Å
α = 75.04°, β = 75.04°, γ = 22.03°
Fractional positions:
S (0.827, 0.827, 0.483)
S (0.912, 0.912, 0.838)
S (0.173, 0.173, 0.517)
S (0.423, 0.423, 0.147)
S (0.088, 0.088, 0.162)
S (0.761, 0.761, 0.157)
S (0.577, 0.577, 0.853)
S (0.239, 0.239, 0.843)
Cr (0.705, 0.705, 0.666)
Cr (0.340, 0.340, 0.978)
Cr (0.660, 0.660, 0.022)
Cr (0.000, 0.000, 0.000)
Cr (0.295, 0.295, 0.334)
Cs (0.500, 0.500, 0.500)

Polymorph energy (0 for the lowest one), kJ per mole of atoms: 0.0
E_form (uncorrected), meV per atom: -802
SG: C2/m (12)

---

Entry 7:
TlCd4Hg7 after structural relaxation. Source: Alexandria via LeMat-Bulk, functional PBE-GGA.

a = 4.374 Å, b = 4.374 Å, c = 20.353 Å
α = 90.00°, β = 90.00°, γ = 120.00°
Fractional positions:
Cd (0.667, 0.333, 0.324)
Cd (0.333, 0.667, 0.921)
Cd (0.333, 0.667, 0.676)
Cd (0.667, 0.333, 0.079)
Tl (0.000, 0.000, 0.500)
Hg (0.000, 0.000, 0.755)
Hg (0.667, 0.333, 0.840)
Hg (0.000, 0.000, 0.000)
Hg (0.000, 0.000, 0.245)
Hg (0.333, 0.667, 0.404)
Hg (0.333, 0.667, 0.160)
Hg (0.667, 0.333, 0.596)

Polymorph energy (0 for the lowest one), kJ per mole of atoms: 1.3
DOS at the Fermi energy, states/eV/f.u.: 3.0
Calculated formation energy, eV per atom: 0.030
SG: P-3m1 (164)

---

Entry 8:
LiThSb2 after structural relaxation. Source: Alexandria via LeMat-Bulk, functional PBE-GGA.

a = 3.510 Å, b = 3.510 Å, c = 9.938 Å
α = 79.83°, β = 79.83°, γ = 60.00°
Fractional positions:
Sb (0.258, 0.258, 0.225)
Sb (0.742, 0.742, 0.775)
Li (0.000, 0.000, 0.000)
Th (0.500, 0.500, 0.500)

Polymorph energy (0 for the lowest one), kJ per mole of atoms: 34.8
DOS at the Fermi energy, states/eV/f.u.: 3.6
E_form (uncorrected), meV per atom: -399
SG: R-3m (166)

---

Entry 9:
Ca2MgRuC after structural relaxation. Source: Alexandria via LeMat-Bulk, functional PBE-GGA.

a = 5.159 Å, b = 5.159 Å, c = 3.943 Å
α = 90.00°, β = 90.00°, γ = 90.00°
Fractional positions:
Ca (0.000, 0.500, 0.000)
Ca (0.500, 0.000, 0.000)
Mg (0.500, 0.500, 0.500)
C (0.000, 0.000, 0.000)
Ru (0.000, 0.000, 0.500)

DOS at the Fermi energy, states/eV/f.u.: 3.0
Calculated formation energy, eV per atom: 0.010
SG: P4/mmm (123)

---

Entry 10:
Sm4YSe5 after structural relaxation. Source: Alexandria via LeMat-Bulk, functional PBE-GGA.

a = 4.154 Å, b = 5.868 Å, c = 11.018 Å
α = 105.44°, β = 100.86°, γ = 90.00°
Fractional positions:
Se (0.403, 0.903, 0.806)
Se (0.000, 0.500, 0.000)
Se (0.201, 0.701, 0.401)
Se (0.799, 0.299, 0.599)
Se (0.597, 0.097, 0.194)
Sm (0.199, 0.199, 0.398)
Sm (0.601, 0.601, 0.201)
Sm (0.399, 0.399, 0.799)
Sm (0.801, 0.801, 0.602)
Y (0.000, 0.000, 0.000)

Polymorph energy (0 for the lowest one), kJ per mole of atoms: 0.2
DOS at the Fermi energy, states/eV/f.u.: 5.0
E_form (uncorrected), meV per atom: -1803
SG: Immm (71)

---

The records above give, respectively, M_tot values of 0.00 0.20 0.69 0.00 0.00 15.00 0.00 0.00 0.00 0.00 Bohr magnetons per cell.